No. 1
PrNd3P2Br2: optimized geometry, PBE.

Summary:
total energy = -45.39 eV per formula unit
theoretical density = 6.0 Mg/m³

Cell lengths 4.1301, 4.1301, 14.8493 Å; angles 90.00, 90.00, 120.00 degrees
Closest atoms and distances in Å follow each position.
Element x y z (fractional)
Br: 0.0000 0.0000 0.2506  6 Nd 3.24
P: 0.6667 0.3333 0.4997  6 Nd 2.82
Pr: 0.0000 0.0000 0.8980  3 P 2.84
Nd: 0.3333 0.6667 0.3986  3 P 2.82
Nd: 0.3333 0.6667 0.1026  3 P 2.82
P: 0.6667 0.3333 0.0018  3 Nd 2.82, 3 Pr 2.84
Br: 0.3333 0.6667 0.7478  3 Nd 3.23, 3 Pr 3.26
Nd: 0.0000 0.0000 0.6009  3 P 2.82


No. 2
Hf2Ag2Sn: optimized geometry, PBE.

Summary:
total energy = -28.02 eV per formula unit
theoretical density = 10.0 Mg/m³

Cell lengths 6.6988, 6.6988, 6.6988 Å; angles 141.67, 141.67, 55.32 degrees
Closest atoms and distances in Å follow each position.
Element x y z (fractional)
Sn: 0.0000 0.0000 0.0000  8 Ag 3.36, 8 Hf 3.69
Ag: 0.3936 0.3936 0.0000  1 Ag 2.53, 4 Hf 2.78
Hf: 0.7500 0.2500 0.5000  4 Ag 2.78, 4 Hf 3.11
Hf: 0.2500 0.7500 0.5000  4 Ag 2.78, 4 Hf 3.11
Ag: 0.6064 0.6064 0.0000  1 Ag 2.53, 4 Hf 2.78


No. 3
NbCuBPd: optimized geometry, PBE.

Summary:
total energy = -24.65 eV per formula unit
theoretical density = 8.5 Mg/m³

Cell lengths 4.2208, 4.2208, 4.2208 Å; angles 60.00, 60.00, 60.00 degrees
Closest atoms and distances in Å follow each position.
Element x y z (fractional)
Nb: 0.2500 0.2500 0.2500  4 B 2.58, 4 Pd 2.58
Pd: 0.5000 0.5000 0.5000  4 Cu 2.58, 4 Nb 2.58
B: 0.0000 0.0000 0.0000  4 Cu 2.58, 4 Nb 2.58
Cu: 0.7500 0.7500 0.7500  4 B 2.58, 4 Pd 2.58


No. 4
SmAuNO: optimized geometry, PBE.

Summary:
total energy = -25.52 eV per formula unit
theoretical density = 10.4 Mg/m³

Cell lengths 5.7876, 7.1047, 5.8879 Å; angles 90.00, 90.00, 90.00 degrees
Closest atoms and distances in Å follow each position.
Element x y z (fractional)
O: 0.2501 0.4680 0.2999  4 Sm 2.30-2.37
Au: 0.4615 0.0739 0.5516  4 N 2.23-2.28
O: 0.7501 0.5320 0.2999  4 Sm 2.30-2.37
Sm: 0.5380 0.3517 0.0495  4 O 2.30-2.37
Sm: 0.4620 0.6483 0.5495  4 O 2.30-2.37
Au: 0.9615 0.9261 0.5516  4 N 2.23-2.28
N: 0.7489 0.0992 0.3015  4 Au 2.23-2.28
O: 0.7499 0.5320 0.7999  4 Sm 2.30-2.37
Sm: 0.0380 0.6483 0.0495  4 O 2.30-2.37
O: 0.2499 0.4680 0.7999  4 Sm 2.30-2.37
N: 0.7511 0.0992 0.8015  4 Au 2.23-2.28
N: 0.2489 0.9008 0.3015  4 Au 2.23-2.28
Au: 0.0385 0.0739 0.0516  4 N 2.23-2.28
N: 0.2511 0.9008 0.8015  4 Au 2.23-2.28
Sm: 0.9620 0.3517 0.5495  4 O 2.30-2.37
Au: 0.5385 0.9261 0.0516  4 N 2.23-2.28


No. 5
TmLuOs: optimized geometry, PBE.

Summary:
ΔE_f = -0.3211 eV/atom
theoretical density = 13.1 Mg/m³

Cell lengths 7.2914, 4.2404, 8.7526 Å; angles 90.00, 90.00, 90.00 degrees
Closest atoms and distances in Å follow each position.
Element x y z (fractional)
Lu: 0.0234 0.7500 0.8345  5 Os 2.95-3.25
Tm: 0.1480 0.7500 0.4342  4 Os 2.79-2.93
Lu: 0.9766 0.2500 0.1655  5 Os 2.95-3.25
Os: 0.2476 0.2500 0.6236  4 Tm 2.79-2.93, 3 Lu 2.95-3.03
Tm: 0.3520 0.2500 0.9342  4 Os 2.79-2.93
Os: 0.7476 0.2500 0.8764  4 Tm 2.79-2.93, 3 Lu 2.95-3.03
Os: 0.2524 0.7500 0.1236  4 Tm 2.79-2.93, 3 Lu 2.95-3.03
Tm: 0.8520 0.2500 0.5658  4 Os 2.79-2.93
Tm: 0.6480 0.7500 0.0658  4 Os 2.79-2.93
Lu: 0.5234 0.7500 0.6655  5 Os 2.95-3.25
Lu: 0.4766 0.2500 0.3345  5 Os 2.95-3.25
Os: 0.7524 0.7500 0.3764  4 Tm 2.79-2.93, 3 Lu 2.95-3.03


No. 6
Nb3SbN2: optimized geometry, PBE.

Summary:
total energy = -54.52 eV per formula unit
theoretical density = 8.5 Mg/m³

Cell lengths 3.2376, 3.2376, 18.5448 Å; angles 90.00, 90.00, 120.00 degrees
Closest atoms and distances in Å follow each position.
Element x y z (fractional)
N: 0.3333 0.6667 0.4331  6 Nb 2.21-2.24
Sb: 0.0000 0.0000 0.2500  6 Nb 2.91, 6 Sb 3.24
Nb: 0.6667 0.3333 0.3699  3 N 2.21
N: 0.6667 0.3333 0.9331  6 Nb 2.21-2.24
Nb: 0.3333 0.6667 0.8699  3 N 2.21
Nb: 0.6667 0.3333 0.1301  3 N 2.21
N: 0.3333 0.6667 0.0669  6 Nb 2.21-2.24
Nb: 0.0000 0.0000 0.5000  6 N 2.24
Sb: 0.0000 0.0000 0.7500  6 Nb 2.91, 6 Sb 3.24
N: 0.6667 0.3333 0.5669  6 Nb 2.21-2.24
Nb: 0.0000 0.0000 0.0000  6 N 2.24
Nb: 0.3333 0.6667 0.6301  3 N 2.21


No. 7
NaZrTlS3: optimized geometry, PBE.

Summary:
total energy = -31.17 eV per formula unit
theoretical density = 4.5 Mg/m³

Cell lengths 14.0644, 3.8436, 11.4084 Å; angles 90.00, 90.00, 90.00 degrees
Closest atoms and distances in Å follow each position.
Element x y z (fractional)
Na: 0.0559 0.2500 0.4152  4 S 2.62-2.76
Tl: 0.2377 0.7500 0.5237  1 S 2.79
S: 0.0724 0.2500 0.6556  1 Zr 2.45
Tl: 0.7377 0.7500 0.9763  1 S 2.79
S: 0.4276 0.7500 0.1556  1 Zr 2.45
S: 0.9276 0.7500 0.3444  1 Zr 2.45
S: 0.5946 0.7500 0.5613  3 Zr 2.63-2.74
Tl: 0.7623 0.2500 0.4763  1 S 2.79
S: 0.9054 0.2500 0.0613  3 Zr 2.63-2.74
Zr: 0.5082 0.7500 0.3460  6 S 2.45-2.74
S: 0.6275 0.2500 0.2972  2 Zr 2.61, 1 Na 2.62, 1 Tl 2.79
Tl: 0.2623 0.2500 0.0237  1 S 2.79
S: 0.1275 0.2500 0.2028  2 Zr 2.61, 1 Na 2.62, 1 Tl 2.79
Na: 0.4441 0.7500 0.9152  4 S 2.62-2.76
Na: 0.5559 0.2500 0.0848  4 S 2.62-2.76
S: 0.3725 0.7500 0.7028  2 Zr 2.61, 1 Na 2.62, 1 Tl 2.79
Zr: 0.4918 0.2500 0.6540  6 S 2.45-2.74
Na: 0.9441 0.7500 0.5848  4 S 2.62-2.76
S: 0.8725 0.7500 0.7972  2 Zr 2.61, 1 Na 2.62, 1 Tl 2.79
S: 0.4054 0.2500 0.4387  3 Zr 2.63-2.74
Zr: 0.0082 0.7500 0.1540  6 S 2.45-2.74
Zr: 0.9918 0.2500 0.8460  6 S 2.45-2.74
S: 0.0946 0.7500 0.9387  3 Zr 2.63-2.74
S: 0.5724 0.2500 0.8444  1 Zr 2.45


No. 8
LiAcPt4: optimized geometry, PBE.

Summary:
total energy = -35.34 eV per formula unit
theoretical density = 14.5 Mg/m³

Cell lengths 5.4827, 5.4827, 5.4827 Å; angles 60.00, 60.00, 60.00 degrees
Closest atoms and distances in Å follow each position.
Element x y z (fractional)
Ac: 0.5000 0.5000 0.5000  12 Pt 3.22, 4 Li 3.36
Pt: 0.8758 0.8758 0.3727  6 Pt 2.72-2.76
Pt: 0.8758 0.3727 0.8758  6 Pt 2.72-2.76
Li: 0.2500 0.2500 0.2500  12 Pt 3.21, 4 Ac 3.36
Pt: 0.8758 0.8758 0.8758  6 Pt 2.72-2.76
Pt: 0.3727 0.8758 0.8758  6 Pt 2.72-2.76